Record 1
Computed, not measured: BaV10S16 after structural relaxation at the PBEsol level of DFT.

Calculated density ... 4.388 Mg/m³
Magnetic moment ... 1.28 μB/f.u.
Formation energy from raw total energies ... -31.22 eV per formula unit

Cell: 6.3432 8.6890 8.9267 Å, 98.99 110.77 100.56°
Last column: nearest neighbours and their distance in Å.
Space group P-1 (No. 2)
Asymmetric unit:
Ba (0.0000, 0.0000, 0.0000)  10 S 3.11-3.17
V (0.0000, 0.0000, 0.5000)  6 S 2.36-2.37
V (0.0322, 0.4219, 0.8603)  6 S 2.24-2.48
V (0.1794, 0.7079, 0.5041)  5 S 2.23-2.44
V (0.3196, 0.2887, 0.4940)  5 S 2.23-2.46
V (0.4624, 0.5793, 0.1415)  6 S 2.25-2.47
V (0.5000, 0.0000, 0.5000)  6 S 2.35-2.37
S (0.0546, 0.8309, 0.6871)  3 V 2.26-2.37
S (0.1210, 0.8529, 0.3148)  4 V 2.23-2.45
S (0.1704, 0.6834, 0.9936)  3 V 2.24-2.31
S (0.1997, 0.4821, 0.6574)  5 V 2.43-2.56
S (0.3006, 0.5169, 0.3421)  5 V 2.44-2.57
S (0.3333, 0.3179, 0.0042)  3 V 2.25-2.32
S (0.3796, 0.1464, 0.6855)  4 V 2.23-2.44
S (0.4521, 0.1689, 0.3124)  3 V 2.26-2.37

***

Record 2
Computed, not measured: KNa3Cr after structural relaxation at the PBEsol level of DFT.

Calculated density ... 1.211 Mg/m³
Magnetic moment ... 5.18 μB/f.u.
Formation energy from the elements ... 1.097 eV per atom

Cell: 6.0319 6.0319 6.0319 Å, 90.00 90.00 90.00°
Last column: nearest neighbours and their distance in Å.
Space group Pm-3m (No. 221)
Asymmetric unit:
K (0.0000, 0.0000, 0.0000)  6 Na 3.02
Na (0.0000, 0.0000, 0.5000)  2 K 3.02
Cr (0.5000, 0.5000, 0.5000)  12 Na 4.27

***

Record 3
Computed, not measured: Zr6MnCl14 after structural relaxation at the PBEsol level of DFT.

Calculated density ... 3.390 Mg/m³
Magnetic moment ... 0.00 μB/f.u.
Formation energy from raw total energies ... -34.66 eV per formula unit

Cell: 14.4993 12.6566 11.7296 Å, 90.00 90.00 90.00°
Last column: nearest neighbours and their distance in Å.
Space group Cmce (No. 64)
Asymmetric unit:
Zr (0.0000, 0.1505, 0.1116)  1 Mn 2.31, 4 Cl 2.54
Zr (0.1225, 0.0765, 0.8795)  1 Mn 2.47, 5 Cl 2.52-2.63
Mn (0.0000, 0.0000, 0.0000)  6 Zr 2.31-2.47
Cl (0.0000, 0.1630, 0.7434)  3 Zr 2.63-2.82
Cl (0.1226, 0.0836, 0.2486)  2 Zr 2.52-2.54
Cl (0.1226, 0.2448, 0.9945)  2 Zr 2.52-2.54
Cl (0.2502, 0.0000, 0.0000)  2 Zr 2.52
Cl (0.2500, 0.1599, 0.7500)  2 Zr 2.62

***

Record 4
Computed, not measured: AlSb after structural relaxation at the PBEsol level of DFT.

Calculated density ... 5.394 Mg/m³
Magnetic moment ... 0.00 μB/f.u.
Formation energy from raw total energies ... 0.34 eV per formula unit

Cell: 3.3580 3.3580 28.1324 Å, 90.00 90.00 120.00°
Last column: nearest neighbours and their distance in Å.
Space group R-3m (No. 166, hexagonal axes)
Asymmetric unit:
Al (0.0000, 0.0000, 0.1320)  3 Al 2.75, 3 Sb 2.87
Sb (0.0000, 0.0000, 0.3903)  3 Al 2.87

***

Record 5
Computed, not measured: MnAu4 after structural relaxation at the PBEsol level of DFT.

Calculated density ... 17.143 Mg/m³
Magnetic moment ... 3.94 μB/f.u.
Formation energy from the elements ... 0.018 eV per atom
Excess energy over the best structure of this formula in the dataset ... 63 meV/atom

Cell: 2.8942 2.8942 19.4930 Å, 90.00 90.00 90.00°
Last column: nearest neighbours and their distance in Å.
Space group I4/mmm (No. 139)
Asymmetric unit:
Mn (0.0000, 0.0000, 0.0000)  8 Au 2.72, 4 Mn 2.89
Au (0.0000, 0.0000, 0.1978)  12 Au 2.89-2.91
Au (0.0000, 0.0000, 0.4084)  4 Mn 2.72, 8 Au 2.89-2.91

***

Record 6
Computed, not measured: RbHS2O7 after structural relaxation at the PBEsol level of DFT.

Calculated density ... 2.678 Mg/m³
Magnetic moment ... 0.00 μB/f.u.
Energy ... -5.998 eV/atom

Cell: 7.3331 10.9055 8.5266 Å, 90.00 107.22 90.00°
Last column: nearest neighbours and their distance in Å.
Space group P2_1/c (No. 14)
Asymmetric unit:
Rb (0.1586, 0.1981, 0.0342)  8 O 2.84-3.13
H (0.3846, 0.5551, 0.1960)  1 O 1.08
S (0.1808, 0.5587, 0.8943)  3 O 1.44-1.47
S (0.4151, 0.5927, 0.6796)  3 O 1.43-1.53
O (0.0191, 0.6271, 0.7962)  1 S 1.44
O (0.1871, 0.0703, 0.3592)  1 S 1.44
O (0.2284, 0.5907, 0.0689)  1 H 1.38, 1 S 1.47
O (0.2385, 0.5909, 0.5497)  1 S 1.43
O (0.3734, 0.6207, 0.8521)  2 S 1.62-1.70
O (0.4397, 0.1804, 0.8213)  1 S 1.43
O (0.4923, 0.0386, 0.1990)  1 H 1.08

***

Record 7
Computed, not measured: KNiAsBr2 after structural relaxation at the PBEsol level of DFT.

Calculated density ... 4.489 Mg/m³
Magnetic moment ... 0.09 μB/f.u.
Excess energy over the best structure of this formula in the dataset ... 0 meV/atom
Formation energy from raw total energies ... -2.17 eV per formula unit

Cell: 5.2985 5.2985 4.3817 Å, 90.00 90.00 90.00°
Last column: nearest neighbours and their distance in Å.
Space group P4/mmm (No. 123)
Asymmetric unit:
K (0.0000, 0.0000, 0.0000)  8 Br 3.44, 4 As 3.75
Ni (0.5000, 0.5000, 0.5000)  2 As 2.19
As (0.5000, 0.5000, 0.0000)  2 Ni 2.19
Br (0.0000, 0.5000, 0.5000)  2 Ni 2.65

***

Record 8
Computed, not measured: Al2OsRu after structural relaxation at the PBEsol level of DFT.

Calculated density ... 10.351 Mg/m³
Magnetic moment ... 0.00 μB/f.u.
Formation energy from the elements ... -0.235 eV per atom

Cell: 2.8177 2.8177 24.1664 Å, 90.00 90.00 120.00°
Last column: nearest neighbours and their distance in Å.
Space group R-3m (No. 166, hexagonal axes)
Asymmetric unit:
Al (0.0000, 0.0000, 0.2487)  3 Ru 2.57, 3 Os 2.61, 6 Al 2.82
Os (0.0000, 0.0000, 0.0000)  6 Al 2.61, 6 Os 2.82
Ru (0.0000, 0.0000, 0.5000)  6 Al 2.57, 6 Ru 2.82